Density functional theory data (PBE) for a relaxed MgCd2Tc crystal.

Lattice parameters (Å, degrees): 2.9214 2.9214 8.9766 90.00 90.00 90.00
Space group P4mm (No. 99)
Unique sites:
Mg  0.0000  0.0000  0.0000 (multiplicity 1)
Cd  0.0000  0.0000  0.4510 (multiplicity 1)
Cd  0.5000  0.5000  0.7289 (multiplicity 1)
Tc  0.5000  0.5000  0.2184 (multiplicity 1)

Values from the calculation:
DOS(E_F), states/eV/atom: 0.703
E, hartree per atom: -0.1176
DFT formation energy, kcal/mol of atoms: 5.72